1.
First-principles (PBE) data for Tl2InGaO4 after structural relaxation, as listed in Alexandria.

Computed properties:
* symmetry: Fddd, No. 70
* raw total energy: -4.854 eV/atom
* ΔE_f (raw): -103 kJ/mol of atoms

Cell lengths 11.717, 10.416, 6.748 Å; angles 83.16, 61.96, 34.87 degrees
Positions (direct):
Tl: 0.066 0.066 0.684
Tl: 0.316 0.316 0.934
Tl: 0.684 0.684 0.066
Tl: 0.934 0.934 0.316
In: 0.125 0.125 0.125
In: 0.875 0.875 0.875
Ga: 0.375 0.375 0.375
Ga: 0.625 0.625 0.625
O: 0.015 0.673 0.531
O: 0.281 0.531 0.673
O: 0.327 0.985 0.719
O: 0.469 0.719 0.985
O: 0.531 0.281 0.015
O: 0.673 0.015 0.281
O: 0.719 0.469 0.327
O: 0.985 0.327 0.469

---

2.
First-principles (PBE) data for Tm2InGaO6 after structural relaxation, as listed in Alexandria.

Computed properties:
* symmetry: P4mm, No. 99
* raw total energy: -6.886 eV/atom
* ΔE_f (raw): -235 kJ/mol of atoms

Cell lengths 5.225, 5.225, 5.101 Å; angles 90.00, 90.00, 90.00 degrees
Positions (direct):
Tm: 0.000 0.500 0.000
Tm: 0.500 0.000 0.000
In: 0.000 0.000 0.576
Ga: 0.500 0.500 0.602
O: 0.000 0.000 0.176
O: 0.258 0.258 0.760
O: 0.258 0.742 0.760
O: 0.500 0.500 0.238
O: 0.742 0.258 0.760
O: 0.742 0.742 0.760

---

- Number 1 is which compound?
  Tl2InGaO4

---

- Look up the raw total energy of the first one.
  -4.854 eV/atom